Entry 1:
## Tl2ZnBr4 (PBE-GGA)

Data for a geometry-optimized Tl2ZnBr4 structure.

Results
- Crystal system: monoclinic
- E above lowest polymorph: 3.1 meV/atom

Lattice parameters (Å, degrees): 7.4521 7.5723 9.2893 90.00 108.65 90.00
Element x y z (fractional)
Br1 0.4989 0.4982 0.7687
Br2 0.5011 0.5018 0.2313
Br3 0.4989 0.0018 0.7687
Br4 0.5011 0.9982 0.2313
Br5 0.1043 0.7500 0.4364
Br6 0.9192 0.2500 0.1329
Br7 0.8957 0.2500 0.5636
Br8 0.0808 0.7500 0.8671
Tl1 0.2786 0.2500 0.4499
Tl2 0.7655 0.7500 0.0698
Tl3 0.2345 0.2500 0.9302
Tl4 0.7214 0.7500 0.5501
Zn1 0.7187 0.2500 0.2940
Zn2 0.2813 0.7500 0.7060

***

Entry 2:
## TmBr3 (PBE-GGA)

Data for a geometry-optimized TmBr3 structure.

Results
- Crystal system: trigonal
- Magnetization: 0.00 μB per atom
- Uncorrected energy: -33.34 eV for the cell shown

Lattice parameters (Å, degrees): 7.4120 7.4120 7.4120 54.70 54.70 54.70
Element x y z (fractional)
Br1 0.0809 0.4191 0.7500
Br2 0.4191 0.7500 0.0809
Br3 0.7500 0.0809 0.4191
Br4 0.9191 0.5809 0.2500
Br5 0.5809 0.2500 0.9191
Br6 0.2500 0.9191 0.5809
Tm1 0.5000 0.5000 0.5000
Tm2 0.0000 0.0000 0.0000

***

Entry 3:
## UBr (PBE-GGA)

Data for a geometry-optimized UBr structure.

Results
- Crystal system: hexagonal
- Magnetization: 1.44 μB per atom
- Uncorrected energy: -13.52 eV for the cell shown

Lattice parameters (Å, degrees): 3.4025 3.4024 4.7275 90.00 90.00 120.00
Element x y z (fractional)
U1 0.3333 0.6667 0.2500
Br1 0.6667 0.3333 0.7500

***

Entry 4:
## U2Br13 (PBE-GGA)

Data for a geometry-optimized U2Br13 structure.

Results
- Crystal system: triclinic
- Magnetization: 0.07 μB per atom
- Uncorrected energy: -58.95 eV for the cell shown

Lattice parameters (Å, degrees): 8.1501 8.6719 10.5440 76.15 76.79 74.32
Site moments in Bohr magnetons follow the coordinates.
Element x y z (fractional)
Br1 0.5407 0.0073 0.1901  -0.03
Br2 0.0000 0.0000 0.0000  -0.02
Br3 0.6003 0.4387 0.9163  0.00
Br4 0.4593 0.9927 0.8099  -0.03
Br5 0.8503 0.1307 0.3357  -0.03
Br6 0.7036 0.7419 0.4971  -0.03
Br7 0.3997 0.5613 0.0837  0.00
Br8 0.8505 0.6085 0.1657  -0.03
Br9 0.1612 0.7314 0.3130  -0.03
Br10 0.1495 0.3915 0.8343  -0.03
Br11 0.2964 0.2581 0.5029  -0.03
Br12 0.8388 0.2686 0.6870  -0.03
Br13 0.1497 0.8693 0.6643  -0.03
U1 0.1556 0.1341 0.7421  0.68
U2 0.8444 0.8659 0.2579  0.68

***

Entry 5:
## UBr (PBE-GGA)

Data for a geometry-optimized UBr structure.

Results
- Crystal system: cubic
- Magnetization: 1.54 μB per atom
- Uncorrected energy: -13.12 eV for the cell shown

Lattice parameters (Å, degrees): 4.0669 4.0669 4.0669 60.00 60.00 60.00
Site moments in Bohr magnetons follow the coordinates.
Element x y z (fractional)
Br1 0.0000 0.0000 0.0000  -0.01
U1 0.5000 0.5000 0.5000  2.67

***

Entry 6:
## UBr (PBE-GGA)

Data for a geometry-optimized UBr structure.

Results
- Crystal system: cubic
- Magnetization: 2.25 μB per atom
- Uncorrected energy: -12.01 eV for the cell shown

Lattice parameters (Å, degrees): 4.6376 4.6376 4.6376 60.00 60.00 60.00
Site moments in Bohr magnetons follow the coordinates.
Element x y z (fractional)
Br1 0.0000 0.0000 0.0000  0.03
U1 0.2500 0.2500 0.2500  3.42

***

Entry 7:
## WBr6 (PBE-GGA)

Data for a geometry-optimized WBr6 structure.

Results
- Crystal system: cubic
- E above lowest polymorph: 8.1 meV/atom
- Magnetization: 0.00 μB per atom

Lattice parameters (Å, degrees): 7.2839 7.2839 7.2839 109.47 109.47 109.47
Element x y z (fractional)
Br1 0.0000 0.2938 0.2938
Br2 0.7062 0.0000 0.7062
Br3 0.7062 0.7062 0.0000
Br4 0.2938 0.2938 0.0000
Br5 0.2938 0.0000 0.2938
Br6 0.0000 0.7062 0.7062
W1 0.0000 0.0000 0.0000

***

Entry 8:
## WBr5 (PBE-GGA)

Data for a geometry-optimized WBr5 structure.

Results
- Crystal system: triclinic
- E above lowest polymorph: 0.0 meV/atom
- Magnetization: 0.17 μB per atom

Lattice parameters (Å, degrees): 6.5062 7.1000 9.7023 108.27 90.71 116.51
Site moments in Bohr magnetons follow the coordinates.
Element x y z (fractional)
Br1 0.1182 0.6180 0.8547  -0.01
Br2 0.6924 0.9932 0.7536  -0.01
Br3 0.8818 0.3820 0.1453  -0.01
Br4 0.9275 0.1882 0.4313  0.02
Br5 0.0725 0.8118 0.5687  0.02
Br6 0.5508 0.4218 0.6661  0.02
Br7 0.2460 0.1843 0.9549  -0.01
Br8 0.7540 0.8157 0.0451  -0.01
Br9 0.4492 0.5782 0.3339  0.02
Br10 0.3076 0.0068 0.2464  -0.01
W1 0.1057 0.2160 0.2151  0.81
W2 0.8943 0.7840 0.7849  0.81

***

Entry 9:
## WBr5 (PBE-GGA)

Data for a geometry-optimized WBr5 structure.

Results
- Crystal system: orthorhombic
- E above lowest polymorph: 20.2 meV/atom
- Magnetization: 0.17 μB per atom

Lattice parameters (Å, degrees): 6.2978 16.9646 8.2543 90.00 90.00 90.00
Site moments in Bohr magnetons follow the coordinates.
Element x y z (fractional)
Br1 0.7679 0.4490 0.7500  0.00
Br2 0.2408 0.3608 0.9971  -0.01
Br3 0.7592 0.6392 0.0029  -0.01
Br4 0.7255 0.4722 0.2500  0.04
Br5 0.7679 0.0510 0.2500  0.00
Br6 0.2745 0.9722 0.2500  0.04
Br7 0.4080 0.7408 0.2500  0.01
Br8 0.7592 0.6392 0.4971  -0.01
Br9 0.7592 0.8608 0.9971  -0.01
Br10 0.7255 0.0278 0.7500  0.04
Br11 0.4080 0.7592 0.7500  0.01
Br12 0.5920 0.2408 0.2500  0.01
Br13 0.5920 0.2592 0.7500  0.01
Br14 0.2408 0.1392 0.4971  -0.01
Br15 0.2408 0.3608 0.5029  -0.01
Br16 0.2745 0.5278 0.7500  0.04
Br17 0.2408 0.1392 0.0029  -0.01
Br18 0.2321 0.9490 0.7500  0.00
Br19 0.7592 0.8608 0.5029  -0.01
Br20 0.2321 0.5510 0.2500  0.00
W1 0.4205 0.1094 0.2500  0.78
W2 0.5795 0.6094 0.2500  0.78
W3 0.4205 0.3906 0.7500  0.78
W4 0.5795 0.8906 0.7500  0.78

***

Entry 10:
## W2Br (PBE-GGA)

Data for a geometry-optimized W2Br structure.

Results
- Crystal system: cubic
- Magnetization: 0.00 μB per atom
- Uncorrected energy: -45.49 eV for the cell shown

Lattice parameters (Å, degrees): 5.4458 5.4458 5.4458 60.00 60.00 60.00
Element x y z (fractional)
Br1 0.2500 0.2500 0.2500
Br2 0.0000 0.0000 0.0000
W1 0.6250 0.1250 0.6250
W2 0.1250 0.6250 0.6250
W3 0.6250 0.6250 0.6250
W4 0.6250 0.6250 0.1250

***

Entry 11:
## W3Br8 (PBE-GGA)

Data for a geometry-optimized W3Br8 structure.

Results
- Crystal system: orthorhombic
- Magnetization: 0.09 μB per atom
- Uncorrected energy: -225.88 eV for the cell shown

Lattice parameters (Å, degrees): 9.5552 9.5552 14.3254 90.00 90.00 100.92
Site moments in Bohr magnetons follow the coordinates.
Element x y z (fractional)
Br1 0.4130 0.0692 0.1212  0.06
Br2 0.2867 0.1398 0.6122  0.03
Br3 0.0470 0.9530 0.9307  0.00
Br4 0.0754 0.9246 0.2878  0.03
Br5 0.9130 0.5692 0.3788  0.06
Br6 0.1398 0.2867 0.3878  0.03
Br7 0.7133 0.8602 0.3878  0.03
Br8 0.4246 0.5754 0.7878  0.03
Br9 0.4530 0.5470 0.4307  0.00
Br10 0.1713 0.8287 0.7651  0.00
Br11 0.7812 0.2188 0.4892  0.03
Br12 0.2188 0.7812 0.5108  0.03
Br13 0.7867 0.6398 0.8878  0.03
Br14 0.9530 0.0470 0.0693  0.00
Br15 0.7188 0.2812 0.9892  0.03
Br16 0.5692 0.9130 0.6212  0.06
Br17 0.0870 0.4308 0.6212  0.06
Br18 0.9246 0.0754 0.7122  0.03
Br19 0.3602 0.2133 0.8878  0.03
Br20 0.0692 0.4130 0.8788  0.06
Br21 0.5870 0.9308 0.8788  0.06
Br22 0.4308 0.0870 0.3788  0.06
Br23 0.2133 0.3602 0.1122  0.03
Br24 0.6713 0.3287 0.7349  0.00
Br25 0.3287 0.6713 0.2651  0.00
Br26 0.8287 0.1713 0.2349  0.00
Br27 0.5470 0.4530 0.5693  0.00
Br28 0.9308 0.5870 0.1212  0.06
Br29 0.8602 0.7133 0.6122  0.03
Br30 0.2812 0.7188 0.0108  0.03
Br31 0.6398 0.7867 0.1122  0.03
Br32 0.5754 0.4246 0.2122  0.03
W1 0.4261 0.5739 0.1148  0.47
W2 0.9261 0.0739 0.3852  0.47
W3 0.9657 0.8176 0.4492  0.04
W4 0.8176 0.9657 0.5508  0.04
W5 0.5739 0.4261 0.8852  0.47
W6 0.6824 0.5343 0.0508  0.04
W7 0.0739 0.9261 0.6148  0.47
W8 0.3176 0.4657 0.9492  0.04
W9 0.4657 0.3176 0.0508  0.04
W10 0.0343 0.1824 0.5508  0.04
W11 0.5343 0.6824 0.9492  0.04
W12 0.1824 0.0343 0.4492  0.04

***

Entry 12:
## WBr6 (PBE-GGA)

Data for a geometry-optimized WBr6 structure.

Results
- Crystal system: monoclinic
- E above lowest polymorph: 0.0 meV/atom
- Magnetization: 0.00 μB per atom

Lattice parameters (Å, degrees): 6.4617 6.4617 11.9613 90.32 90.32 116.99
Element x y z (fractional)
Br1 0.3636 0.0307 0.3648
Br2 0.0296 0.6802 0.6278
Br3 0.3597 0.3451 0.1290
Br4 0.3198 0.9704 0.8722
Br5 0.6802 0.0296 0.1278
Br6 0.3451 0.3597 0.6290
Br7 0.6549 0.6403 0.3710
Br8 0.0307 0.3636 0.8648
Br9 0.6364 0.9693 0.6352
Br10 0.6403 0.6549 0.8710
Br11 0.9693 0.6364 0.1352
Br12 0.9704 0.3198 0.3722
W1 0.6663 0.3337 0.2500
W2 0.3337 0.6663 0.7500

***

Entry 13:
## WBr14 (PBE-GGA)

Data for a geometry-optimized WBr14 structure.

Results
- Crystal system: trigonal
- Magnetization: 0.05 μB per atom
- Uncorrected energy: -33.81 eV for the cell shown

Lattice parameters (Å, degrees): 8.2735 8.2735 8.2735 94.23 94.23 94.23
Site moments in Bohr magnetons follow the coordinates.
Element x y z (fractional)
Br1 0.6839 0.0000 0.3161  -0.03
Br2 0.6753 0.2855 0.6753  -0.01
Br3 0.3108 0.3108 0.3108  0.07
Br4 0.7145 0.3247 0.3247  -0.01
Br5 0.6839 0.3161 0.0000  -0.01
Br6 0.3161 0.6839 0.0000  -0.01
Br7 0.2855 0.6753 0.6753  -0.01
Br8 0.6892 0.6892 0.6892  0.07
Br9 0.3161 0.0000 0.6839  -0.03
Br10 0.0000 0.6839 0.3161  -0.04
Br11 0.3247 0.3247 0.7145  -0.02
Br12 0.0000 0.3161 0.6839  -0.04
Br13 0.6753 0.6753 0.2855  -0.02
Br14 0.3247 0.7145 0.3247  -0.01
W1 0.5000 0.5000 0.5000  0.73

***

Entry 14:
## Zn2Br (PBE-GGA)

Data for a geometry-optimized Zn2Br structure.

Results
- Crystal system: cubic
- Uncorrected energy: -7.78 eV for the cell shown

Lattice parameters (Å, degrees): 5.5550 5.5550 5.5550 60.00 60.00 60.00
Element x y z (fractional)
Br1 0.0000 0.0000 0.0000
Br2 0.2500 0.2500 0.2500
Zn1 0.1250 0.6250 0.6250
Zn2 0.6250 0.1250 0.6250
Zn3 0.6250 0.6250 0.6250
Zn4 0.6250 0.6250 0.1250

***

Entry 15:
## ZnBr6 (PBE-GGA)

Data for a geometry-optimized ZnBr6 structure.

Results
- Crystal system: triclinic
- Uncorrected energy: -13.00 eV for the cell shown

Lattice parameters (Å, degrees): 6.9029 7.0441 7.4106 72.29 65.15 88.64
Element x y z (fractional)
Br1 0.9609 0.2304 0.2553
Br2 0.3515 0.0729 0.7544
Br3 0.7187 0.5596 0.8414
Br4 0.0391 0.7695 0.7446
Br5 0.2812 0.4404 0.1588
Br6 0.6484 0.9272 0.2457
Zn1 0.0000 0.0000 0.9998

***

Entry 16:
## ZrBr4 (PBE-GGA)

Data for a geometry-optimized ZrBr4 structure.

Results
- Crystal system: monoclinic
- Magnetization: 0.00 μB per atom
- Uncorrected energy: -87.30 eV for the cell shown

Lattice parameters (Å, degrees): 10.6111 7.1861 10.6320 90.00 102.95 90.00
Element x y z (fractional)
Br1 0.0622 0.9220 0.6847
Br2 0.1916 0.4165 0.5543
Br3 0.3151 0.9060 0.4286
Br4 0.8084 0.9165 0.9457
Br5 0.4324 0.0876 0.8044
Br6 0.0622 0.5780 0.1847
Br7 0.9378 0.4220 0.8153
Br8 0.3151 0.5940 0.9286
Br9 0.6849 0.4060 0.0714
Br10 0.5676 0.5876 0.6956
Br11 0.1916 0.0835 0.0543
Br12 0.8084 0.5835 0.4457
Br13 0.5676 0.9124 0.1956
Br14 0.4324 0.4124 0.3044
Br15 0.9378 0.0780 0.3153
Br16 0.6849 0.0940 0.5714
Zr1 0.7482 0.0790 0.1301
Zr2 0.2518 0.9210 0.8699
Zr3 0.7482 0.4210 0.6301
Zr4 0.2518 0.5790 0.3699

***

Entry 17:
## ZrBr (PBE-GGA)

Data for a geometry-optimized ZrBr structure.

Results
- Crystal system: trigonal
- E above lowest polymorph: 0.0 meV/atom
- Magnetization: 0.00 μB per atom

Lattice parameters (Å, degrees): 10.5809 10.5809 10.5809 19.17 19.17 19.17
Element x y z (fractional)
Br1 0.4012 0.4012 0.4012
Br2 0.5988 0.5988 0.5988
Zr1 0.7956 0.7956 0.7956
Zr2 0.2044 0.2044 0.2044

***

Entry 18:
## ZrBr (PBE-GGA)

Data for a geometry-optimized ZrBr structure.

Results
- Crystal system: cubic
- E above lowest polymorph: 1129.8 meV/atom
- Magnetization: 0.00 μB per atom

Lattice parameters (Å, degrees): 3.9519 3.9519 3.9519 60.00 60.00 60.00
Element x y z (fractional)
Br1 0.0000 0.0000 0.0000
Zr1 0.5000 0.5000 0.5000

***

Entry 19:
## ZrBr (PBE-GGA)

Data for a geometry-optimized ZrBr structure.

Results
- Crystal system: cubic
- E above lowest polymorph: 1273.7 meV/atom
- Magnetization: 0.70 μB per atom

Lattice parameters (Å, degrees): 4.3468 4.3468 4.3468 60.00 60.00 60.00
Site moments in Bohr magnetons follow the coordinates.
Element x y z (fractional)
Zr1 0.2500 0.2500 0.2500  0.86
Br1 0.0000 0.0000 0.0000  0.04

***

Entry 20:
## ZrBr4 (PBE-GGA)

Data for a geometry-optimized ZrBr4 structure.

Results
- Crystal system: tetragonal
- Magnetization: 0.00 μB per atom
- Uncorrected energy: -21.17 eV for the cell shown

Lattice parameters (Å, degrees): 6.6668 6.6668 6.6668 131.94 131.94 70.33
Element x y z (fractional)
Br1 0.0000 0.5000 0.5000
Br2 0.5000 0.0000 0.5000
Br3 0.2327 0.2327 0.0000
Br4 0.7673 0.7673 0.0000
Zr1 0.0000 0.0000 0.0000

***

| no. | mass density (Mg/m³) |
| --- | --- |
| 1 | 5.31 |
| 2 | 5.38 |
| 3 | 11.14 |
| 4 | 3.67 |
| 5 | 11.10 |
| 6 | 7.49 |
| 7 | 3.70 |
| 8 | 5.17 |
| 9 | 4.39 |
| 10 | 13.02 |
| 11 | 6.16 |
| 12 | 4.95 |
| 13 | 3.85 |
| 14 | 5.77 |
| 15 | 2.93 |
| 16 | 3.45 |
| 17 | 5.09 |
| 18 | 6.51 |
| 19 | 4.89 |
| 20 | 4.25 |